Record 1
Computed, not measured: a relaxed Y2ScHg4 crystal at the PBE level of DFT.

Results
Electronic total energy = -41.2 eV for the cell shown
Fermi-level density of states = 15.06 states/eV per cell
Crystal system = tetragonal
E above lowest polymorph = 320 meV/atom
Magnetization = 0.000 μB per formula unit

a b c (Å): 5.383 5.383 15.208
angles (deg): 90.00 90.00 90.00
Atoms (fractional coordinates):
1 Y 0.000 0.000 0.109
2 Y 0.000 0.000 0.891
3 Y 0.500 0.500 0.391
4 Y 0.500 0.500 0.609
5 Sc 0.000 0.000 0.500
6 Sc 0.500 0.500 0.000
7 Hg 0.000 0.000 0.310
8 Hg 0.000 0.000 0.690
9 Hg 0.000 0.500 0.000
10 Hg 0.000 0.500 0.500
11 Hg 0.500 0.000 0.000
12 Hg 0.500 0.000 0.500
13 Hg 0.500 0.500 0.190
14 Hg 0.500 0.500 0.810



Record 2
Computed, not measured: a relaxed YScHg crystal at the PBE level of DFT.

Results
Electronic total energy = -55.9 eV for the cell shown
Fermi-level density of states = 13.34 states/eV per cell
Crystal system = orthorhombic
E above lowest polymorph = 61 meV/atom
Magnetization = 0.000 μB per formula unit

a b c (Å): 3.682 13.095 6.536
angles (deg): 90.00 90.00 90.00
Atoms (fractional coordinates):
1 Y 0.000 0.190 0.250
2 Y 0.000 0.810 0.750
3 Y 0.500 0.310 0.750
4 Y 0.500 0.690 0.250
5 Sc 0.000 0.500 0.000
6 Sc 0.000 0.500 0.500
7 Sc 0.500 0.000 0.000
8 Sc 0.500 0.000 0.500
9 Hg 0.000 0.120 0.750
10 Hg 0.000 0.880 0.250
11 Hg 0.500 0.380 0.250
12 Hg 0.500 0.620 0.750



Record 3
Computed, not measured: a relaxed YScHg6 crystal at the PBE level of DFT.

Results
Electronic total energy = -33.8 eV for the cell shown
Fermi-level density of states = 12.29 states/eV per cell
Crystal system = orthorhombic
E above lowest polymorph = 0 meV/atom
Magnetization = 0.000 μB per formula unit

a b c (Å): 4.972 6.569 11.361
angles (deg): 90.00 90.00 90.00
Atoms (fractional coordinates):
1 Y 0.000 0.000 0.000
2 Y 0.000 0.500 0.500
3 Sc 0.500 0.000 0.668
4 Sc 0.500 0.500 0.168
5 Hg 0.000 0.000 0.505
6 Hg 0.000 0.245 0.749
7 Hg 0.000 0.255 0.249
8 Hg 0.000 0.500 0.005
9 Hg 0.000 0.745 0.249
10 Hg 0.000 0.755 0.749
11 Hg 0.500 0.000 0.169
12 Hg 0.500 0.246 0.416
13 Hg 0.500 0.254 0.916
14 Hg 0.500 0.500 0.669
15 Hg 0.500 0.746 0.916
16 Hg 0.500 0.754 0.416



Record 4
Computed, not measured: a relaxed YSc5Hg6 crystal at the PBE level of DFT.

Results
Electronic total energy = -45.1 eV for the cell shown
Fermi-level density of states = 12.15 states/eV per cell
Crystal system = orthorhombic
Magnetization = 0.380 μB per formula unit

a b c (Å): 8.693 8.693 8.693
angles (deg): 146.56 131.14 60.51
Atoms (fractional coordinates):
1 Y 0.000 0.000 0.000
2 Sc 0.165 0.665 0.500
3 Sc 0.331 0.331 0.000
4 Sc 0.500 0.000 0.500
5 Sc 0.669 0.669 0.000
6 Sc 0.835 0.335 0.500
7 Hg 0.088 0.829 0.258
8 Hg 0.266 0.500 0.766
9 Hg 0.429 0.171 0.258
10 Hg 0.571 0.829 0.742
11 Hg 0.734 0.500 0.234
12 Hg 0.912 0.171 0.742



Record 5
Computed, not measured: a relaxed YScHg6 crystal at the PBE level of DFT.

Results
Electronic total energy = -16.8 eV for the cell shown
Fermi-level density of states = 5.12 states/eV per cell
Crystal system = tetragonal
E above lowest polymorph = 16 meV/atom
Magnetization = 0.000 μB per formula unit

a b c (Å): 4.460 4.460 9.460
angles (deg): 90.00 90.00 90.00
Atoms (fractional coordinates):
1 Y 0.000 0.000 0.000
2 Sc 0.000 0.000 0.500
3 Hg 0.000 0.500 0.257
4 Hg 0.000 0.500 0.743
5 Hg 0.500 0.000 0.257
6 Hg 0.500 0.000 0.743
7 Hg 0.500 0.500 0.000
8 Hg 0.500 0.500 0.500



Record 6
Computed, not measured: a relaxed Y2ScHg4 crystal at the PBE level of DFT.

Results
Electronic total energy = -22.8 eV for the cell shown
Fermi-level density of states = 5.13 states/eV per cell
Crystal system = trigonal
E above lowest polymorph = 0 meV/atom
Magnetization = 0.000 μB per formula unit

a b c (Å): 9.230 9.230 9.230
angles (deg): 31.11 31.11 31.11
Atoms (fractional coordinates):
1 Y 0.246 0.246 0.246
2 Y 0.754 0.754 0.754
3 Sc 0.000 0.000 0.000
4 Hg 0.129 0.129 0.129
5 Hg 0.369 0.369 0.369
6 Hg 0.631 0.631 0.631
7 Hg 0.871 0.871 0.871



Record 7
Computed, not measured: a relaxed YSc4Hg crystal at the PBE level of DFT.

Results
Electronic total energy = -31.2 eV for the cell shown
Fermi-level density of states = 6.73 states/eV per cell
Crystal system = cubic
Magnetization = 0.000 μB per formula unit

a b c (Å): 5.995 5.995 5.995
angles (deg): 60.00 60.00 60.00
Atoms (fractional coordinates):
1 Y 0.000 0.000 0.000
2 Sc 0.374 0.374 0.374
3 Sc 0.374 0.374 0.878
4 Sc 0.374 0.878 0.374
5 Sc 0.878 0.374 0.374
6 Hg 0.750 0.750 0.750



Record 8
Computed, not measured: a relaxed YScHg crystal at the PBE level of DFT.

Results
Electronic total energy = -56.4 eV for the cell shown
Fermi-level density of states = 15.87 states/eV per cell
Crystal system = orthorhombic
E above lowest polymorph = 22 meV/atom
Magnetization = 0.000 μB per formula unit

a b c (Å): 3.677 16.192 5.136
angles (deg): 90.00 90.00 90.00
Atoms (fractional coordinates):
1 Y 0.000 0.082 0.250
2 Y 0.000 0.918 0.750
3 Y 0.500 0.418 0.750
4 Y 0.500 0.582 0.250
5 Sc 0.000 0.233 0.750
6 Sc 0.000 0.767 0.250
7 Sc 0.500 0.267 0.250
8 Sc 0.500 0.733 0.750
9 Hg 0.000 0.407 0.250
10 Hg 0.000 0.593 0.750
11 Hg 0.500 0.093 0.750
12 Hg 0.500 0.907 0.250



Record 9
Computed, not measured: a relaxed YSc2Hg4 crystal at the PBE level of DFT.

Results
Electronic total energy = -45.5 eV for the cell shown
Fermi-level density of states = 6.32 states/eV per cell
Crystal system = tetragonal
Magnetization = 0.000 μB per formula unit

a b c (Å): 7.191 7.191 6.889
angles (deg): 90.00 90.00 90.00
Atoms (fractional coordinates):
1 Y 0.000 0.000 0.000
2 Y 0.500 0.500 0.500
3 Sc 0.000 0.500 0.000
4 Sc 0.000 0.500 0.500
5 Sc 0.500 0.000 0.000
6 Sc 0.500 0.000 0.500
7 Hg 0.250 0.250 0.250
8 Hg 0.250 0.250 0.750
9 Hg 0.250 0.750 0.250
10 Hg 0.250 0.750 0.750
11 Hg 0.750 0.250 0.250
12 Hg 0.750 0.250 0.750
13 Hg 0.750 0.750 0.250
14 Hg 0.750 0.750 0.750



Record 10
Computed, not measured: a relaxed YSc3Hg6 crystal at the PBE level of DFT.

Results
Electronic total energy = -62.0 eV for the cell shown
Fermi-level density of states = 14.63 states/eV per cell
Crystal system = monoclinic
Magnetization = 0.000 μB per formula unit

a b c (Å): 8.844 4.992 10.733
angles (deg): 90.00 106.22 90.00
Atoms (fractional coordinates):
1 Y 0.064 0.250 0.386
2 Y 0.936 0.750 0.614
3 Sc 0.238 0.250 0.004
4 Sc 0.352 0.750 0.809
5 Sc 0.481 0.250 0.607
6 Sc 0.519 0.750 0.393
7 Sc 0.648 0.250 0.191
8 Sc 0.762 0.750 0.996
9 Hg 0.066 0.750 0.912
10 Hg 0.144 0.750 0.211
11 Hg 0.179 0.250 0.695
12 Hg 0.258 0.750 0.524
13 Hg 0.366 0.250 0.292
14 Hg 0.463 0.750 0.096
15 Hg 0.537 0.250 0.904
16 Hg 0.634 0.750 0.708
17 Hg 0.742 0.250 0.476
18 Hg 0.821 0.750 0.305
19 Hg 0.856 0.250 0.789
20 Hg 0.934 0.250 0.088



Record 11
Computed, not measured: a relaxed Y2ScHg8 crystal at the PBE level of DFT.

Results
Electronic total energy = -24.8 eV for the cell shown
Fermi-level density of states = 6.05 states/eV per cell
Crystal system = monoclinic
Magnetization = 0.000 μB per formula unit

a b c (Å): 8.259 8.259 7.147
angles (deg): 109.24 109.24 35.00
Atoms (fractional coordinates):
1 Y 0.212 0.212 0.160
2 Y 0.788 0.788 0.840
3 Sc 0.500 0.500 0.500
4 Hg 0.022 0.022 0.234
5 Hg 0.153 0.153 0.674
6 Hg 0.338 0.338 0.609
7 Hg 0.402 0.402 0.063
8 Hg 0.598 0.598 0.937
9 Hg 0.662 0.662 0.391
10 Hg 0.847 0.847 0.326
11 Hg 0.978 0.978 0.766



Record 12
Computed, not measured: a relaxed Y4ScHg crystal at the PBE level of DFT.

Results
Electronic total energy = -65.4 eV for the cell shown
Fermi-level density of states = 20.78 states/eV per cell
Crystal system = monoclinic
E above lowest polymorph = 0 meV/atom
Magnetization = 0.000 μB per formula unit

a b c (Å): 8.222 8.222 6.230
angles (deg): 99.75 99.75 116.20
Atoms (fractional coordinates):
1 Y 0.090 0.709 0.948
2 Y 0.195 0.390 0.644
3 Y 0.291 0.910 0.552
4 Y 0.390 0.195 0.144
5 Y 0.610 0.805 0.856
6 Y 0.709 0.090 0.448
7 Y 0.805 0.610 0.356
8 Y 0.910 0.291 0.052
9 Sc 0.391 0.609 0.250
10 Sc 0.609 0.391 0.750
11 Hg 0.002 0.998 0.750
12 Hg 0.998 0.002 0.250



Energy of formation from the pure elements
In order: -0.0175; -0.2964; -0.2845; -0.4346; -0.2682; -0.3380; 0.1494; -0.3358; -0.3482; -0.3738; -0.2819; -0.0386
Unit: eV/atom